Entry 1:
# KUTl2I8

A geometry-optimized KUTl2I8 structure (PBE, Alexandria via LeMat-Bulk).

a b c (Å): 8.3196 7.4852 10.1594
angles (deg): 89.80 90.09 89.55
Last column: magnetic moment on the atom in μB.
Atoms (fractional coordinates):
K (0.0000, 0.0000, 0.5000)  0.00
U (0.0000, 0.0000, 0.0000)  1.35
Tl (0.4999, 0.4987, 0.7330)  -0.01
Tl (0.5001, 0.5013, 0.2670)  -0.01
I (0.1277, 0.7575, 0.2046)  -0.04
I (0.6990, 0.8024, 0.9985)  -0.05
I (0.8699, 0.2407, 0.2032)  -0.04
I (0.8723, 0.2425, 0.7954)  -0.04
I (0.3010, 0.1976, 0.0015)  -0.05
I (0.1301, 0.7593, 0.7968)  -0.04
I (0.6718, 0.7236, 0.5004)  -0.01
I (0.3282, 0.2764, 0.4996)  -0.01

Properties
DFT total energy (eV for the cell shown): -39.32
Total magnetic moment (μB per formula unit): 1.0
ρ (g/cm³): 4.47
ΔE_f (raw) (eV per atom): -0.817

Entry 2:
# Nd2DySn2

A geometry-optimized Nd2DySn2 structure (PBE, Alexandria via LeMat-Bulk).

a b c (Å): 4.5538 8.1679 8.1679
angles (deg): 90.00 90.00 90.00
Atoms (fractional coordinates):
Nd (0.5000, 0.1714, 0.6714)
Nd (0.5000, 0.6714, 0.8286)
Nd (0.5000, 0.8286, 0.3286)
Nd (0.5000, 0.3286, 0.1714)
Dy (0.0000, 0.0000, 0.0000)
Dy (0.0000, 0.5000, 0.5000)
Sn (0.0000, 0.3695, 0.8695)
Sn (0.0000, 0.8695, 0.6305)
Sn (0.0000, 0.6305, 0.1305)
Sn (0.0000, 0.1305, 0.3695)

Properties
Energy of formation (eV/atom): -0.712
DFT total energy (eV for the cell shown): -51.40
Total magnetic moment (μB per formula unit): 0.0
ρ (g/cm³): 7.53

Entry 3:
# HgRu2Pt

A geometry-optimized HgRu2Pt structure (PBE, Alexandria via LeMat-Bulk).

a b c (Å): 5.6069 5.6069 5.6069
angles (deg): 151.07 129.51 59.25
Atoms (fractional coordinates):
Hg (0.5060, 0.5060, 0.0000)
Pt (0.2354, 0.7354, 0.5000)
Ru (0.9873, 0.9873, 0.0000)
Ru (0.7713, 0.2713, 0.5000)

Properties
Energy of formation (eV/atom): 0.434
DFT total energy (eV for the cell shown): -23.16
Total magnetic moment (μB per formula unit): 0.0
ρ (g/cm³): 15.20

Entry 4:
# CaTeRh4

A geometry-optimized CaTeRh4 structure (PBE, Alexandria via LeMat-Bulk).

a b c (Å): 5.3218 5.3218 5.3218
angles (deg): 60.00 60.00 60.00
Atoms (fractional coordinates):
Ca (0.0000, 0.0000, 0.0000)
Te (0.7500, 0.7500, 0.7500)
Rh (0.8734, 0.3755, 0.3755)
Rh (0.3755, 0.3755, 0.8734)
Rh (0.3755, 0.8734, 0.3755)
Rh (0.3755, 0.3755, 0.3755)

Properties
DFT total energy (eV for the cell shown): -35.37
Total magnetic moment (μB per formula unit): 0.0
ρ (g/cm³): 9.03
ΔE_f (raw) (eV per atom): -0.137

Entry 5:
# Tl3Cd3Hg5

A geometry-optimized Tl3Cd3Hg5 structure (PBE, Alexandria via LeMat-Bulk).

a b c (Å): 3.3615 11.2160 9.9836
angles (deg): 125.32 90.02 90.02
Atoms (fractional coordinates):
Tl (0.2725, 0.8013, 0.9605)
Tl (0.7732, 0.0195, 0.8736)
Tl (0.2708, 0.2141, 0.2597)
Cd (0.7728, 0.5402, 0.9361)
Cd (0.7718, 0.4760, 0.5854)
Cd (0.2754, 0.9800, 0.5772)
Hg (0.2713, 0.6818, 0.2552)
Hg (0.2695, 0.2743, 0.6497)
Hg (0.2787, 0.3374, 0.0251)
Hg (0.2716, 0.6928, 0.5655)
Hg (0.7725, 0.9826, 0.3121)

Properties
Energy of formation (eV/atom): 0.026
DFT total energy (eV for the cell shown): -11.06
Total magnetic moment (μB per formula unit): 0.0
ρ (g/cm³): 10.56

Entry 6:
# Pu2Ga6CuAu

A geometry-optimized Pu2Ga6CuAu structure (PBE, Alexandria via LeMat-Bulk).

a b c (Å): 6.3072 6.3072 12.2397
angles (deg): 75.07 75.07 60.00
Last column: magnetic moment on the atom in μB.
Atoms (fractional coordinates):
Pu (0.8923, 0.8923, 0.3230)  5.44
Pu (0.1077, 0.1077, 0.6770)  5.44
Pu (0.7174, 0.7174, 0.8478)  5.43
Pu (0.2826, 0.2826, 0.1522)  5.43
Ga (0.9293, 0.3337, 0.4034)  -0.02
Ga (0.3337, 0.9293, 0.4034)  -0.02
Ga (0.3337, 0.3337, 0.4034)  -0.02
Ga (0.0707, 0.6663, 0.5966)  -0.02
Ga (0.6663, 0.0707, 0.5966)  -0.02
Ga (0.6663, 0.6663, 0.5966)  -0.02
Ga (0.6504, 0.2228, 0.9039)  0.01
Ga (0.2228, 0.6504, 0.9039)  0.01
Ga (0.2228, 0.2228, 0.9039)  0.01
Ga (0.3496, 0.7772, 0.0961)  0.01
Ga (0.7772, 0.3496, 0.0961)  0.01
Ga (0.7772, 0.7772, 0.0961)  0.01
Cu (0.0000, 0.0000, 0.0000)  0.02
Cu (0.5000, 0.5000, 0.5000)  -0.01
Au (0.5746, 0.5746, 0.2763)  -0.01
Au (0.4254, 0.4254, 0.7237)  -0.01

Properties
Energy of formation (eV/atom): -0.181
DFT total energy (eV for the cell shown): -112.02
Total magnetic moment (μB per formula unit): 11.5
ρ (g/cm³): 9.63

Entry 7:
# Hf4TiAl2

A geometry-optimized Hf4TiAl2 structure (PBE, Alexandria via LeMat-Bulk).

a b c (Å): 7.3491 5.8666 7.5089
angles (deg): 90.00 119.50 90.00
Atoms (fractional coordinates):
Hf (0.5781, 0.4992, 0.2347)
Hf (0.1354, 0.7500, 0.9250)
Hf (0.8646, 0.2500, 0.0750)
Hf (0.5781, 0.0008, 0.2347)
Hf (0.0191, 0.2500, 0.5143)
Hf (0.4219, 0.9992, 0.7653)
Hf (0.4219, 0.5008, 0.7653)
Hf (0.9809, 0.7500, 0.4857)
Ti (0.2612, 0.7500, 0.3430)
Ti (0.7388, 0.2500, 0.6570)
Al (0.8106, 0.7500, 0.0503)
Al (0.1894, 0.2500, 0.9497)
Al (0.3165, 0.2500, 0.3734)
Al (0.6835, 0.7500, 0.6266)

Properties
Energy of formation (eV/atom): -0.058
DFT total energy (eV for the cell shown): -111.20
Total magnetic moment (μB per formula unit): 0.0
ρ (g/cm³): 9.62

Entry 8:
# LaCu12

A geometry-optimized LaCu12 structure (PBE, Alexandria via LeMat-Bulk).

a b c (Å): 4.8917 6.5351 6.5351
angles (deg): 81.95 68.02 68.02
Atoms (fractional coordinates):
La (0.0000, 0.0000, 0.0000)
Cu (0.5000, 0.0000, 0.5000)
Cu (0.0000, 0.0000, 0.5000)
Cu (0.5000, 0.5000, 0.0000)
Cu (0.0000, 0.5000, 0.0000)
Cu (0.0000, 0.6433, 0.3567)
Cu (0.0000, 0.3567, 0.6433)
Cu (0.6433, 0.3567, 0.3567)
Cu (0.3567, 0.6433, 0.6433)
Cu (0.5000, 0.2314, 0.7686)
Cu (0.5000, 0.7686, 0.2314)
Cu (0.7314, 0.7686, 0.7686)
Cu (0.2686, 0.2314, 0.2314)

Properties
Energy of formation (eV/atom): -0.065
DFT total energy (eV for the cell shown): -54.93
Total magnetic moment (μB per formula unit): 0.0
ρ (g/cm³): 8.33

Entry 9:
# ZnTeSe

A geometry-optimized ZnTeSe structure (PBE, Alexandria via LeMat-Bulk).

a b c (Å): 4.7371 4.7371 4.7371
angles (deg): 60.00 60.00 60.00
Atoms (fractional coordinates):
Se (0.0000, 0.0000, 0.0000)
Te (0.5000, 0.5000, 0.5000)
Zn (0.7500, 0.7500, 0.7500)

Properties
DFT total energy (eV for the cell shown): -7.43
Total magnetic moment (μB per formula unit): 0.0
ρ (g/cm³): 6.01
ΔE_f (raw) (eV per atom): 0.156

Entry 10:
# K2Cd5Hg

A geometry-optimized K2Cd5Hg structure (PBE, Alexandria via LeMat-Bulk).

a b c (Å): 5.0692 9.5702 10.5491
angles (deg): 90.00 90.00 105.36
Atoms (fractional coordinates):
K (0.8040, 0.6079, 0.7500)
K (0.1960, 0.3921, 0.2500)
K (0.0000, 0.0000, 0.0000)
K (0.0000, 0.0000, 0.5000)
Cd (0.1879, 0.3758, 0.8880)
Cd (0.8121, 0.6242, 0.1120)
Cd (0.1879, 0.3758, 0.6120)
Cd (0.8121, 0.6242, 0.3880)
Cd (0.3447, 0.6893, 0.9773)
Cd (0.6553, 0.3107, 0.0227)
Cd (0.3447, 0.6893, 0.5227)
Cd (0.6553, 0.3107, 0.4773)
Cd (0.6033, 0.2067, 0.7500)
Cd (0.3967, 0.7933, 0.2500)
Hg (0.4429, 0.8857, 0.7500)
Hg (0.5571, 0.1143, 0.2500)

Properties
Energy of formation (eV/atom): -0.110
DFT total energy (eV for the cell shown): -15.90
Total magnetic moment (μB per formula unit): 0.0
ρ (g/cm³): 5.66

Entry 11:
# CaRuPt2

A geometry-optimized CaRuPt2 structure (PBE, Alexandria via LeMat-Bulk).

a b c (Å): 4.6425 4.6425 4.6425
angles (deg): 60.00 60.00 60.00
Last column: magnetic moment on the atom in μB.
Atoms (fractional coordinates):
Ru (0.5000, 0.5000, 0.5000)  1.50
Ca (0.0000, 0.0000, 0.0000)  0.00
Pt (0.2500, 0.2500, 0.2500)  0.21
Pt (0.7500, 0.7500, 0.7500)  0.21

Properties
Energy of formation (eV/atom): -0.032
DFT total energy (eV for the cell shown): -23.49
Total magnetic moment (μB per formula unit): 2.0
ρ (g/cm³): 12.47

Entry 12:
# Tb3Pr6Er2Tm

A geometry-optimized Tb3Pr6Er2Tm structure (PBE, Alexandria via LeMat-Bulk).

a b c (Å): 6.2983 6.2983 11.8631
angles (deg): 95.07 95.07 120.00
Atoms (fractional coordinates):
Tb (0.1666, 0.8334, 0.5000)
Tb (0.8334, 0.1666, 0.5000)
Tb (0.5000, 0.5000, 0.5000)
Pr (0.9167, 0.5836, 0.7517)
Pr (0.7499, 0.7499, 0.2484)
Pr (0.0833, 0.4164, 0.2483)
Pr (0.5836, 0.9167, 0.7517)
Pr (0.2501, 0.2501, 0.7516)
Pr (0.4164, 0.0833, 0.2483)
Er (0.3334, 0.6666, 0.0000)
Er (0.6666, 0.3334, 0.0000)
Tm (0.0000, 0.0000, 0.0000)

Properties
Energy of formation (eV/atom): 0.013
DFT total energy (eV for the cell shown): -56.01
Total magnetic moment (μB per formula unit): 0.0
ρ (g/cm³): 7.56

Entry 13:
# Os2C

A geometry-optimized Os2C structure (PBE, Alexandria via LeMat-Bulk).

a b c (Å): 3.9996 5.4922 6.4632
angles (deg): 90.00 90.00 90.00
Atoms (fractional coordinates):
C (0.2500, 0.7537, 0.3915)
C (0.7500, 0.7463, 0.8915)
C (0.2500, 0.2537, 0.1085)
C (0.7500, 0.2463, 0.6085)
Os (0.2500, 0.0410, 0.8550)
Os (0.7500, 0.4590, 0.3550)
Os (0.2500, 0.5410, 0.6450)
Os (0.7500, 0.9590, 0.1450)
Os (0.2500, 0.1199, 0.3985)
Os (0.7500, 0.3801, 0.8985)
Os (0.2500, 0.6199, 0.1015)
Os (0.7500, 0.8801, 0.6015)

Properties
Energy of formation (eV/atom): 0.707
DFT total energy (eV for the cell shown): -118.25
Total magnetic moment (μB per formula unit): 0.0
ρ (g/cm³): 18.36

Entry 14:
# CePuNiRu

A geometry-optimized CePuNiRu structure (PBE, Alexandria via LeMat-Bulk).

a b c (Å): 4.6221 4.6221 4.6221
angles (deg): 60.00 60.00 60.00
Last column: magnetic moment on the atom in μB.
Atoms (fractional coordinates):
Ru (0.5000, 0.5000, 0.5000)  -0.39
Ni (0.2500, 0.2500, 0.2500)  -0.25
Ce (0.7500, 0.7500, 0.7500)  0.61
Pu (0.0000, 0.0000, 0.0000)  4.93

Properties
Energy of formation (eV/atom): -0.204
DFT total energy (eV for the cell shown): -36.14
Total magnetic moment (μB per formula unit): 5.1
ρ (g/cm³): 12.93

Entry 15:
# Mg12Cd5Ag2

A geometry-optimized Mg12Cd5Ag2 structure (PBE, Alexandria via LeMat-Bulk).

a b c (Å): 4.7165 10.6221 10.6221
angles (deg): 52.35 76.76 76.76
Atoms (fractional coordinates):
Mg (0.0954, 0.9063, 0.9063)
Mg (0.1968, 0.5463, 0.0586)
Mg (0.1968, 0.0586, 0.5463)
Mg (0.5882, 0.6471, 0.1790)
Mg (0.5882, 0.1790, 0.6471)
Mg (0.0802, 0.4174, 0.4174)
Mg (0.9198, 0.5826, 0.5826)
Mg (0.4118, 0.3529, 0.8210)
Mg (0.4118, 0.8210, 0.3529)
Mg (0.8032, 0.4537, 0.9414)
Mg (0.8032, 0.9414, 0.4537)
Mg (0.9046, 0.0937, 0.0937)
Cd (0.3034, 0.1937, 0.1937)
Cd (0.6934, 0.3035, 0.3035)
Cd (0.5000, 0.0000, 0.0000)
Cd (0.3066, 0.6965, 0.6965)
Cd (0.6966, 0.8063, 0.8063)
Ag (0.0000, 0.2458, 0.7542)
Ag (0.0000, 0.7542, 0.2458)

Properties
Energy of formation (eV/atom): -0.086
DFT total energy (eV for the cell shown): -31.05
Total magnetic moment (μB per formula unit): 0.0
ρ (g/cm³): 4.36

Entry 16:
# Mg2AsPd8

A geometry-optimized Mg2AsPd8 structure (PBE, Alexandria via LeMat-Bulk).

a b c (Å): 4.5107 5.7511 7.7337
angles (deg): 111.87 106.96 90.00
Atoms (fractional coordinates):
Mg (0.8111, 0.3109, 0.6222)
Mg (0.1889, 0.6891, 0.3778)
As (0.5000, 0.0000, 0.0000)
Pd (0.3620, 0.6001, 0.7239)
Pd (0.6383, 0.8774, 0.2767)
Pd (0.8167, 0.8161, 0.6334)
Pd (0.9998, 0.2539, 0.9996)
Pd (0.1833, 0.1839, 0.3666)
Pd (0.3617, 0.1226, 0.7233)
Pd (0.6380, 0.3999, 0.2761)
Pd (0.0002, 0.7461, 0.0004)

Properties
Energy of formation (eV/atom): -0.451
DFT total energy (eV for the cell shown): -54.34
Total magnetic moment (μB per formula unit): 0.0
ρ (g/cm³): 9.16

Entry 17:
# ZnCoW2

A geometry-optimized ZnCoW2 structure (PBE, Alexandria via LeMat-Bulk).

a b c (Å): 9.0328 9.0328 9.0328
angles (deg): 17.58 17.58 17.58
Last column: magnetic moment on the atom in μB.
Atoms (fractional coordinates):
Co (0.7507, 0.7507, 0.7507)  1.14
W (0.0070, 0.0070, 0.0070)  0.00
W (0.2486, 0.2486, 0.2486)  0.03
Zn (0.4937, 0.4937, 0.4937)  0.00

Properties
Energy of formation (eV/atom): 0.280
DFT total energy (eV for the cell shown): -33.17
Total magnetic moment (μB per formula unit): 1.2
ρ (g/cm³): 13.92

Entry 18:
# LiCuAu4

A geometry-optimized LiCuAu4 structure (PBE, Alexandria via LeMat-Bulk).

a b c (Å): 2.8311 7.8750 8.8555
angles (deg): 90.00 90.00 90.00
Atoms (fractional coordinates):
Li (0.0000, 0.1659, 0.2500)
Li (0.0000, 0.8341, 0.7500)
Cu (0.0000, 0.5205, 0.2500)
Cu (0.0000, 0.4795, 0.7500)
Au (0.5000, 0.3303, 0.0397)
Au (0.5000, 0.3303, 0.4603)
Au (0.5000, 0.6697, 0.9603)
Au (0.5000, 0.6697, 0.5397)
Au (0.5000, 0.8282, 0.2500)
Au (0.5000, 0.1718, 0.7500)
Au (0.0000, 0.0000, 0.0000)
Au (0.0000, 0.0000, 0.5000)

Properties
Energy of formation (eV/atom): -0.153
DFT total energy (eV for the cell shown): -40.08
Total magnetic moment (μB per formula unit): 0.0
ρ (g/cm³): 14.44

Entry 19:
# Sm6Si2SeI3

A geometry-optimized Sm6Si2SeI3 structure (PBE, Alexandria via LeMat-Bulk).

a b c (Å): 7.4012 7.4012 7.9843
angles (deg): 98.88 98.88 119.99
Atoms (fractional coordinates):
Sm (0.9355, 0.5937, 0.8069)
Sm (0.7220, 0.7220, 0.1926)
Sm (0.0645, 0.4063, 0.1931)
Sm (0.5937, 0.9355, 0.8069)
Sm (0.2780, 0.2780, 0.8074)
Sm (0.4063, 0.0645, 0.1931)
Si (0.3332, 0.6668, 0.0000)
Si (0.6668, 0.3332, 0.0000)
Se (0.0000, 0.0000, 0.0000)
I (0.1664, 0.8336, 0.5000)
I (0.8336, 0.1664, 0.5000)
I (0.5000, 0.5000, 0.5000)

Properties
DFT total energy (eV for the cell shown): -60.48
Total magnetic moment (μB per formula unit): 0.0
ρ (g/cm³): 6.54
ΔE_f (raw) (eV per atom): -1.099

Entry 20:
# Ce6PrTh8

A geometry-optimized Ce6PrTh8 structure (PBE, Alexandria via LeMat-Bulk).

a b c (Å): 8.7899 8.7899 8.6042
angles (deg): 59.28 59.28 60.00
Last column: magnetic moment on the atom in μB.
Atoms (fractional coordinates):
Ce (0.0551, 0.5242, 0.1140)  0.18
Ce (0.6933, 0.9449, 0.8860)  0.18
Ce (0.4758, 0.6933, 0.8860)  0.18
Ce (0.5242, 0.3067, 0.1140)  0.18
Ce (0.3067, 0.0551, 0.1140)  0.18
Ce (0.9449, 0.4758, 0.8860)  0.18
Pr (0.0000, 0.0000, 0.0000)  0.01
Th (0.8780, 0.3446, 0.5938)  0.00
Th (0.8164, 0.1220, 0.4062)  0.00
Th (0.6554, 0.8164, 0.4062)  0.00
Th (0.4196, 0.4196, 0.7413)  0.00
Th (0.5804, 0.5804, 0.2587)  0.00
Th (0.3446, 0.1836, 0.5938)  0.00
Th (0.1836, 0.8780, 0.5938)  0.00
Th (0.1220, 0.6554, 0.4062)  0.00

Properties
Energy of formation (eV/atom): 0.150
DFT total energy (eV for the cell shown): -97.49
Total magnetic moment (μB per formula unit): 1.4
ρ (g/cm³): 10.14